1.
Below is a relaxed MnCrNiB2 crystal, with properties calculated at the PBEsol level.

POSCAR file:
```
MnCrNiB2
1.0
3.809 0.000 0.000
0.000 3.809 0.000
0.000 0.000 4.038
Ni B Mn Cr
1 2 1 1
direct
0.500 0.500 0.500 Ni
0.000 0.500 0.000 B
0.500 0.000 0.000 B
0.000 0.000 0.500 Mn
0.000 0.000 0.000 Cr
```

Values from the calculation:
The calculation puts the formation energy at 1.32 eV/atom.


2.
Below is a relaxed CrB2Mo2 crystal, with properties calculated at the PBEsol level.

POSCAR file:
```
CrB2Mo2
1.0
3.099 0.000 0.000
0.000 5.773 0.000
0.000 0.000 5.773
Cr Mo B
2 4 4
direct
0.000 0.000 0.000 Cr
0.000 0.500 0.500 Cr
0.500 0.177 0.677 Mo
0.500 0.677 0.823 Mo
0.500 0.823 0.323 Mo
0.500 0.323 0.177 Mo
0.000 0.385 0.885 B
0.000 0.885 0.615 B
0.000 0.615 0.115 B
0.000 0.115 0.385 B
```

Values from the calculation:
The calculation puts the formation energy at -0.51 eV/atom.


3.
Below is a relaxed CrB2Mo crystal, with properties calculated at the PBEsol level.

POSCAR file:
```
CrB2Mo
1.0
-0.641 2.782 0.875
-1.878 0.308 -2.352
-2.132 -1.574 3.442
Cr Mo B
1 1 2
direct
0.500 0.141 0.282 Cr
0.000 0.851 0.702 Mo
0.000 0.565 0.131 B
0.500 0.443 0.885 B
```

Values from the calculation:
The calculation puts the formation energy at -0.54 eV/atom.


4.
Below is a relaxed CrBSN2 crystal, with properties calculated at the PBEsol level.

POSCAR file:
```
CrBSN2
1.0
-2.696 2.161 -0.604
-1.033 -2.034 -2.664
-2.760 -2.592 3.049
Cr S B N
1 1 1 2
direct
0.000 0.000 0.000 Cr
0.000 0.000 0.500 S
0.500 0.500 0.500 B
0.000 0.500 0.000 N
0.500 0.000 0.000 N
```

Values from the calculation:
For the energy, the calculation gives -6.716 eV/atom.


5.
Below is a relaxed CrBS2N crystal, with properties calculated at the PBEsol level.

POSCAR file:
```
CrBS2N
1.0
3.438 0.000 0.000
0.000 4.519 0.000
0.000 0.000 4.519
Cr S B N
1 2 1 1
direct
0.000 0.000 0.000 Cr
0.000 0.000 0.500 S
0.000 0.500 0.000 S
0.500 0.500 0.500 B
0.500 0.000 0.000 N
```

Values from the calculation:
For the energy, the calculation gives -6.002 eV/atom.


6.
Below is a relaxed Cr2BTeN crystal, with properties calculated at the PBEsol level.

POSCAR file:
```
Cr2BTeN
1.0
-0.044 0.816 4.221
-4.824 -1.720 0.282
1.742 -4.733 0.934
Cr B Te N
2 1 1 1
direct
0.000 0.000 0.500 Cr
0.000 0.500 0.000 Cr
0.500 0.000 0.000 B
0.000 0.000 0.000 Te
0.500 0.500 0.500 N
```

Values from the calculation:
For the energy, the calculation gives -5.375 eV/atom.


7.
Below is a relaxed CrBTe2N crystal, with properties calculated at the PBEsol level.

POSCAR file:
```
CrBTe2N
1.0
2.818 0.000 0.000
0.000 5.594 0.000
0.000 0.000 5.594
Cr B Te N
1 1 2 1
direct
0.500 0.500 0.500 Cr
0.000 0.000 0.000 B
0.000 0.000 0.500 Te
0.000 0.500 0.000 Te
0.500 0.000 0.000 N
```

Values from the calculation:
Its energy relative to the lowest polymorph listed for this composition is 0.0 kJ per mole of atoms.


8.
Below is a relaxed CrBTe2N crystal, with properties calculated at the PBEsol level.

POSCAR file:
```
CrBTe2N
1.0
-1.919 0.069 -2.873
3.605 -2.622 -2.471
-2.229 -4.369 1.384
Cr B Te N
1 1 2 1
direct
0.000 0.000 0.000 Cr
0.500 0.500 0.500 B
0.000 0.000 0.500 Te
0.000 0.500 0.000 Te
0.500 0.000 0.000 N
```

Values from the calculation:
Its energy relative to the lowest polymorph listed for this composition is 43.2 kJ per mole of atoms.


Respective calculated density values: 5.3 8.5 7.7 3.4 3.3 3.8 6.3 6.1 Mg/m³.
Respective Fermi-level density of states values: 3.2 5.8 2.3 2.9 2.8 3.1 3.5 2.7 states/eV per cell.